# 1
# DyHfAgHg, relaxed, DFT PBE
# Energy of formation from the pure elements (eV/atom): -0.11
data_DyHfAgHg
_cell_length_a 5.0376
_cell_length_b 5.0376
_cell_length_c 5.0376
_cell_angle_alpha 60.00
_cell_angle_beta 60.00
_cell_angle_gamma 60.00
_symmetry_space_group_name_H-M 'P 1'
_symmetry_Int_Tables_number 1
loop_
_symmetry_equiv_pos_as_xyz
'x,y,z'
loop_
_atom_site_label
_atom_site_type_symbol
_atom_site_fract_x
_atom_site_fract_y
_atom_site_fract_z
_atom_site_occupancy
Hg1 Hg 0.7500 0.7500 0.7500 1
Hf1 Hf 0.5000 0.5000 0.5000 1
Dy1 Dy 0.0000 0.0000 0.0000 1
Ag1 Ag 0.2500 0.2500 0.2500 1

---

# 2
# DyHfInAg, relaxed, DFT PBE
# Energy of formation from the pure elements (eV/atom): -0.14
data_DyHfInAg
_cell_length_a 5.0684
_cell_length_b 5.0684
_cell_length_c 5.0684
_cell_angle_alpha 60.00
_cell_angle_beta 60.00
_cell_angle_gamma 60.00
_symmetry_space_group_name_H-M 'P 1'
_symmetry_Int_Tables_number 1
loop_
_symmetry_equiv_pos_as_xyz
'x,y,z'
loop_
_atom_site_label
_atom_site_type_symbol
_atom_site_fract_x
_atom_site_fract_y
_atom_site_fract_z
_atom_site_occupancy
Ag1 Ag 0.2500 0.2500 0.2500 1
Hf1 Hf 0.5000 0.5000 0.5000 1
In1 In 0.7500 0.7500 0.7500 1
Dy1 Dy 0.0000 0.0000 0.0000 1

---

# 3
# DyHfAgOs, relaxed, DFT PBE
# Energy of formation from the pure elements (eV/atom): -0.23
data_DyHfAgOs
_cell_length_a 4.8212
_cell_length_b 4.8212
_cell_length_c 4.8212
_cell_angle_alpha 60.00
_cell_angle_beta 60.00
_cell_angle_gamma 60.00
_symmetry_space_group_name_H-M 'P 1'
_symmetry_Int_Tables_number 1
loop_
_symmetry_equiv_pos_as_xyz
'x,y,z'
loop_
_atom_site_label
_atom_site_type_symbol
_atom_site_fract_x
_atom_site_fract_y
_atom_site_fract_z
_atom_site_occupancy
Hf1 Hf 0.0000 0.0000 0.0000 1
Ag1 Ag 0.2500 0.2500 0.2500 1
Dy1 Dy 0.5000 0.5000 0.5000 1
Os1 Os 0.7500 0.7500 0.7500 1

---

# 4
# Dy3HfAg3S8, relaxed, DFT PBE
# Formation energy (no corrections) (eV/atom): -1.33
data_Dy3HfAg3S8
_cell_length_a 7.9009
_cell_length_b 7.8993
_cell_length_c 7.7949
_cell_angle_alpha 120.71
_cell_angle_beta 90.00
_cell_angle_gamma 120.01
_symmetry_space_group_name_H-M 'P 1'
_symmetry_Int_Tables_number 1
loop_
_symmetry_equiv_pos_as_xyz
'x,y,z'
loop_
_atom_site_label
_atom_site_type_symbol
_atom_site_fract_x
_atom_site_fract_y
_atom_site_fract_z
_atom_site_occupancy
Dy1 Dy 0.5000 0.5000 0.5000 1
Dy2 Dy 0.5000 0.0000 0.5000 1
S1 S 0.7664 0.0043 0.2724 1
Dy3 Dy 0.0000 0.5000 0.5000 1
S2 S 0.2379 0.0043 0.2724 1
S3 S 0.2335 0.4671 0.7274 1
Hf1 Hf 0.0000 0.0000 0.5000 1
Ag1 Ag 0.5000 0.5000 0.0000 1
S4 S 0.7665 0.5329 0.2726 1
Ag2 Ag 0.0000 0.5000 0.0000 1
S5 S 0.7470 0.4941 0.7393 1
S6 S 0.2530 0.5059 0.2607 1
Ag3 Ag 0.0000 0.0000 0.0000 1
S7 S 0.7621 0.9957 0.7276 1
S8 S 0.2336 0.9957 0.7276 1

---

# 5
# DyHfTcAg, relaxed, DFT PBE
# Energy of formation from the pure elements (eV/atom): -0.14
data_DyHfTcAg
_cell_length_a 4.8301
_cell_length_b 4.8301
_cell_length_c 4.8301
_cell_angle_alpha 60.00
_cell_angle_beta 60.00
_cell_angle_gamma 60.00
_symmetry_space_group_name_H-M 'P 1'
_symmetry_Int_Tables_number 1
loop_
_symmetry_equiv_pos_as_xyz
'x,y,z'
loop_
_atom_site_label
_atom_site_type_symbol
_atom_site_fract_x
_atom_site_fract_y
_atom_site_fract_z
_atom_site_occupancy
Dy1 Dy 0.0000 0.0000 0.0000 1
Tc1 Tc 0.7500 0.7500 0.7500 1
Hf1 Hf 0.5000 0.5000 0.5000 1
Ag1 Ag 0.2500 0.2500 0.2500 1

---

# 6
# DyHfTlAg, relaxed, DFT PBE
# Energy of formation from the pure elements (eV/atom): -0.04
data_DyHfTlAg
_cell_length_a 5.0883
_cell_length_b 5.0883
_cell_length_c 5.0883
_cell_angle_alpha 60.00
_cell_angle_beta 60.00
_cell_angle_gamma 60.00
_symmetry_space_group_name_H-M 'P 1'
_symmetry_Int_Tables_number 1
loop_
_symmetry_equiv_pos_as_xyz
'x,y,z'
loop_
_atom_site_label
_atom_site_type_symbol
_atom_site_fract_x
_atom_site_fract_y
_atom_site_fract_z
_atom_site_occupancy
Dy1 Dy 0.0000 0.0000 0.0000 1
Tl1 Tl 0.2500 0.2500 0.2500 1
Ag1 Ag 0.7500 0.7500 0.7500 1
Hf1 Hf 0.5000 0.5000 0.5000 1

---

# 7
# DyHfZnAg, relaxed, DFT PBE
# Energy of formation from the pure elements (eV/atom): -0.09
data_DyHfZnAg
_cell_length_a 4.9264
_cell_length_b 4.9264
_cell_length_c 4.9264
_cell_angle_alpha 60.00
_cell_angle_beta 60.00
_cell_angle_gamma 60.00
_symmetry_space_group_name_H-M 'P 1'
_symmetry_Int_Tables_number 1
loop_
_symmetry_equiv_pos_as_xyz
'x,y,z'
loop_
_atom_site_label
_atom_site_type_symbol
_atom_site_fract_x
_atom_site_fract_y
_atom_site_fract_z
_atom_site_occupancy
Zn1 Zn 0.7500 0.7500 0.7500 1
Hf1 Hf 0.5000 0.5000 0.5000 1
Ag1 Ag 0.2500 0.2500 0.2500 1
Dy1 Dy 0.0000 0.0000 0.0000 1

---

# 8
# DyAgHg, relaxed, DFT PBE
# Energy of formation from the pure elements (eV/atom): -0.35
data_DyAgHg
_cell_length_a 3.3515
_cell_length_b 4.8751
_cell_length_c 4.8751
_cell_angle_alpha 120.00
_cell_angle_beta 90.00
_cell_angle_gamma 90.00
_symmetry_space_group_name_H-M 'P 1'
_symmetry_Int_Tables_number 1
loop_
_symmetry_equiv_pos_as_xyz
'x,y,z'
loop_
_atom_site_label
_atom_site_type_symbol
_atom_site_fract_x
_atom_site_fract_y
_atom_site_fract_z
_atom_site_occupancy
Hg1 Hg 0.1668 0.3333 0.6667 1
Ag1 Ag 0.1666 0.0000 0.0000 1
Dy1 Dy 0.6665 0.6667 0.3333 1

---

# 9
# DyAgHg2, relaxed, DFT PBE
# Energy of formation from the pure elements (eV/atom): -0.34
data_DyAgHg2
_cell_length_a 5.0112
_cell_length_b 5.0112
_cell_length_c 5.0112
_cell_angle_alpha 60.00
_cell_angle_beta 60.00
_cell_angle_gamma 60.00
_symmetry_space_group_name_H-M 'P 1'
_symmetry_Int_Tables_number 1
loop_
_symmetry_equiv_pos_as_xyz
'x,y,z'
loop_
_atom_site_label
_atom_site_type_symbol
_atom_site_fract_x
_atom_site_fract_y
_atom_site_fract_z
_atom_site_occupancy
Hg1 Hg 0.2500 0.2500 0.2500 1
Hg2 Hg 0.7500 0.7500 0.7500 1
Dy1 Dy 0.0000 0.0000 0.0000 1
Ag1 Ag 0.5000 0.5000 0.5000 1

---

# 10
# Dy6AgHg12, relaxed, DFT PBE
# Energy of formation from the pure elements (eV/atom): -0.31
data_Dy6AgHg12
_cell_length_a 7.8533
_cell_length_b 7.8533
_cell_length_c 7.8533
_cell_angle_alpha 94.19
_cell_angle_beta 85.81
_cell_angle_gamma 85.81
_symmetry_space_group_name_H-M 'P 1'
_symmetry_Int_Tables_number 1
loop_
_symmetry_equiv_pos_as_xyz
'x,y,z'
loop_
_atom_site_label
_atom_site_type_symbol
_atom_site_fract_x
_atom_site_fract_y
_atom_site_fract_z
_atom_site_occupancy
Dy1 Dy 0.8814 0.3078 0.7373 1
Hg1 Hg 0.9715 0.3566 0.1357 1
Hg2 Hg 0.3566 0.8643 0.9715 1
Hg3 Hg 0.2062 0.4475 0.5543 1
Hg4 Hg 0.5543 0.2062 0.5525 1
Dy2 Dy 0.6922 0.7373 0.1186 1
Hg5 Hg 0.7938 0.5525 0.4457 1
Hg6 Hg 0.1357 0.9715 0.6434 1
Hg7 Hg 0.0285 0.6434 0.8643 1
Ag1 Ag 0.0000 0.0000 0.0000 1
Dy3 Dy 0.7373 0.8814 0.6922 1
Hg8 Hg 0.4457 0.7938 0.4475 1
Hg9 Hg 0.8643 0.0285 0.3566 1
Hg10 Hg 0.5525 0.5543 0.7938 1
Dy4 Dy 0.1186 0.6922 0.2627 1
Dy5 Dy 0.3078 0.2627 0.8814 1
Hg11 Hg 0.6434 0.1357 0.0285 1
Hg12 Hg 0.4475 0.4457 0.2062 1
Dy6 Dy 0.2627 0.1186 0.3078 1

---

# 11
# DyAg3Hg3, relaxed, DFT PBE
# Energy of formation from the pure elements (eV/atom): 0.53
data_DyAg3Hg3
_cell_length_a 7.5634
_cell_length_b 7.5634
_cell_length_c 7.5634
_cell_angle_alpha 90.00
_cell_angle_beta 90.00
_cell_angle_gamma 90.00
_symmetry_space_group_name_H-M 'P 1'
_symmetry_Int_Tables_number 1
loop_
_symmetry_equiv_pos_as_xyz
'x,y,z'
loop_
_atom_site_label
_atom_site_type_symbol
_atom_site_fract_x
_atom_site_fract_y
_atom_site_fract_z
_atom_site_occupancy
Ag1 Ag 0.2500 0.5000 0.0000 1
Hg1 Hg 0.7500 0.0000 0.5000 1
Ag2 Ag 0.5000 0.0000 0.2500 1
Hg2 Hg 0.0000 0.5000 0.2500 1
Ag3 Ag 0.0000 0.7500 0.5000 1
Hg3 Hg 0.5000 0.2500 0.0000 1
Dy1 Dy 0.0000 0.0000 0.0000 1
Ag4 Ag 0.0000 0.2500 0.5000 1
Hg4 Hg 0.5000 0.7500 0.0000 1
Ag5 Ag 0.7500 0.5000 0.0000 1
Hg5 Hg 0.2500 0.0000 0.5000 1
Ag6 Ag 0.5000 0.0000 0.7500 1
Dy2 Dy 0.5000 0.5000 0.5000 1
Hg6 Hg 0.0000 0.5000 0.7500 1

---

# 12
# Dy6AgHg5, relaxed, DFT PBE
# Energy of formation from the pure elements (eV/atom): -0.45
data_Dy6AgHg5
_cell_length_a 5.2226
_cell_length_b 7.4462
_cell_length_c 8.2718
_cell_angle_alpha 90.00
_cell_angle_beta 71.60
_cell_angle_gamma 90.00
_symmetry_space_group_name_H-M 'P 1'
_symmetry_Int_Tables_number 1
loop_
_symmetry_equiv_pos_as_xyz
'x,y,z'
loop_
_atom_site_label
_atom_site_type_symbol
_atom_site_fract_x
_atom_site_fract_y
_atom_site_fract_z
_atom_site_occupancy
Dy1 Dy 0.8344 0.2481 0.3312 1
Hg1 Hg 0.6667 0.5000 0.6666 1
Hg2 Hg 0.0000 0.5000 0.0000 1
Dy2 Dy 0.5000 0.2476 0.0000 1
Dy3 Dy 0.1656 0.7519 0.6688 1
Ag1 Ag 0.0000 0.0000 0.0000 1
Hg3 Hg 0.3346 0.0000 0.3309 1
Dy4 Dy 0.8344 0.7519 0.3312 1
Dy5 Dy 0.1656 0.2481 0.6688 1
Hg4 Hg 0.6654 0.0000 0.6691 1
Hg5 Hg 0.3333 0.5000 0.3334 1
Dy6 Dy 0.5000 0.7524 0.0000 1

---

# 13
# Dy6AgHg2, relaxed, DFT PBE
# Energy of formation from the pure elements (eV/atom): -0.06
data_Dy6AgHg2
_cell_length_a 5.0534
_cell_length_b 7.1964
_cell_length_c 8.7721
_cell_angle_alpha 114.22
_cell_angle_beta 106.69
_cell_angle_gamma 90.00
_symmetry_space_group_name_H-M 'P 1'
_symmetry_Int_Tables_number 1
loop_
_symmetry_equiv_pos_as_xyz
'x,y,z'
loop_
_atom_site_label
_atom_site_type_symbol
_atom_site_fract_x
_atom_site_fract_y
_atom_site_fract_z
_atom_site_occupancy
Dy1 Dy 0.5000 0.7538 0.0000 1
Dy2 Dy 0.8353 0.5873 0.6702 1
Hg1 Hg 0.3333 0.3331 0.6661 1
Dy3 Dy 0.5000 0.2462 0.0000 1
Hg2 Hg 0.6667 0.6669 0.3339 1
Dy4 Dy 0.8353 0.0829 0.6702 1
Ag1 Ag 0.0000 0.0000 0.0000 1
Dy5 Dy 0.1647 0.4127 0.3298 1
Dy6 Dy 0.1647 0.9171 0.3298 1

---

# 14
# Dy6Ag2Hg, relaxed, DFT PBE
# Energy of formation from the pure elements (eV/atom): -0.21
data_Dy6Ag2Hg
_cell_length_a 8.6404
_cell_length_b 8.6404
_cell_length_c 8.6404
_cell_angle_alpha 108.45
_cell_angle_beta 111.22
_cell_angle_gamma 108.76
_symmetry_space_group_name_H-M 'P 1'
_symmetry_Int_Tables_number 1
loop_
_symmetry_equiv_pos_as_xyz
'x,y,z'
loop_
_atom_site_label
_atom_site_type_symbol
_atom_site_fract_x
_atom_site_fract_y
_atom_site_fract_z
_atom_site_occupancy
Dy1 Dy 0.0919 0.2698 0.8221 1
Dy2 Dy 0.8017 0.7519 0.5536 1
Hg1 Hg 0.0000 0.0000 0.0000 1
Ag1 Ag 0.5000 0.3649 0.8649 1
Dy3 Dy 0.7202 0.0453 0.3251 1
Dy4 Dy 0.2798 0.6049 0.3251 1
Ag2 Ag 0.5000 0.6351 0.1351 1
Dy5 Dy 0.1983 0.2481 0.4464 1
Dy6 Dy 0.7202 0.3951 0.6749 1
Dy7 Dy 0.8017 0.2481 0.0498 1
Dy8 Dy 0.1983 0.7519 0.9502 1
Hg2 Hg 0.0000 0.5000 0.5000 1
Ag3 Ag 0.6451 0.0000 0.6451 1
Dy9 Dy 0.9081 0.7302 0.1779 1
Dy10 Dy 0.4477 0.2698 0.1779 1
Dy11 Dy 0.2798 0.9547 0.6749 1
Ag4 Ag 0.3549 0.0000 0.3549 1
Dy12 Dy 0.5523 0.7302 0.8221 1

---

# 15
# Dy2Ag3Hg4, relaxed, DFT PBE
# Energy of formation from the pure elements (eV/atom): -0.27
data_Dy2Ag3Hg4
_cell_length_a 4.9548
_cell_length_b 4.9382
_cell_length_c 9.3853
_cell_angle_alpha 90.35
_cell_angle_beta 90.00
_cell_angle_gamma 59.89
_symmetry_space_group_name_H-M 'P 1'
_symmetry_Int_Tables_number 1
loop_
_symmetry_equiv_pos_as_xyz
'x,y,z'
loop_
_atom_site_label
_atom_site_type_symbol
_atom_site_fract_x
_atom_site_fract_y
_atom_site_fract_z
_atom_site_occupancy
Hg1 Hg 0.3330 0.3340 0.1012 1
Dy1 Dy 0.6660 0.6679 0.2297 1
Hg2 Hg 0.0013 0.9976 0.6544 1
Hg3 Hg 0.9987 0.0024 0.3456 1
Ag1 Ag 0.3326 0.3346 0.4310 1
Dy2 Dy 0.3340 0.3321 0.7703 1
Ag2 Ag 0.0000 0.0000 0.0000 1
Hg4 Hg 0.6670 0.6660 0.8988 1
Ag3 Ag 0.6674 0.6654 0.5690 1

---

# 16
# DyAgHg6, relaxed, DFT PBE
# Energy of formation from the pure elements (eV/atom): -0.11
data_DyAgHg6
_cell_length_a 4.9686
_cell_length_b 6.5102
_cell_length_c 6.5102
_cell_angle_alpha 114.42
_cell_angle_beta 90.00
_cell_angle_gamma 90.00
_symmetry_space_group_name_H-M 'P 1'
_symmetry_Int_Tables_number 1
loop_
_symmetry_equiv_pos_as_xyz
'x,y,z'
loop_
_atom_site_label
_atom_site_type_symbol
_atom_site_fract_x
_atom_site_fract_y
_atom_site_fract_z
_atom_site_occupancy
Hg1 Hg 0.0000 0.1173 0.3901 1
Hg2 Hg 0.5000 0.4204 0.1312 1
Hg3 Hg 0.0000 0.6013 0.3987 1
Dy1 Dy 0.0000 0.1166 0.8834 1
Hg4 Hg 0.5000 0.8688 0.5796 1
Hg5 Hg 0.0000 0.6099 0.8827 1
Hg6 Hg 0.5000 0.9179 0.0821 1
Ag1 Ag 0.5000 0.3474 0.6526 1

---

# 17
# DyAgHg, relaxed, DFT PBE
# Energy of formation from the pure elements (eV/atom): -0.18
data_DyAgHg
_cell_length_a 4.7929
_cell_length_b 4.7929
_cell_length_c 4.7929
_cell_angle_alpha 60.00
_cell_angle_beta 60.00
_cell_angle_gamma 60.00
_symmetry_space_group_name_H-M 'P 1'
_symmetry_Int_Tables_number 1
loop_
_symmetry_equiv_pos_as_xyz
'x,y,z'
loop_
_atom_site_label
_atom_site_type_symbol
_atom_site_fract_x
_atom_site_fract_y
_atom_site_fract_z
_atom_site_occupancy
Dy1 Dy 0.0000 0.0000 0.0000 1
Hg1 Hg 0.5000 0.5000 0.5000 1
Ag1 Ag 0.2500 0.2500 0.2500 1

---

# 18
# DyAgHg, relaxed, DFT PBE
# Energy of formation from the pure elements (eV/atom): 0.00
data_DyAgHg
_cell_length_a 6.0938
_cell_length_b 3.5602
_cell_length_c 5.1839
_cell_angle_alpha 89.91
_cell_angle_beta 75.41
_cell_angle_gamma 54.43
_symmetry_space_group_name_H-M 'P 1'
_symmetry_Int_Tables_number 1
loop_
_symmetry_equiv_pos_as_xyz
'x,y,z'
loop_
_atom_site_label
_atom_site_type_symbol
_atom_site_fract_x
_atom_site_fract_y
_atom_site_fract_z
_atom_site_occupancy
Dy1 Dy 0.0000 0.5000 0.0000 1
Ag1 Ag 0.5000 0.5000 0.0000 1
Hg1 Hg 0.0000 0.0000 0.5000 1

---

# 19
# DyAgHg2, relaxed, DFT PBE
# Energy of formation from the pure elements (eV/atom): -0.24
data_DyAgHg2
_cell_length_a 4.4875
_cell_length_b 4.5635
_cell_length_c 4.5635
_cell_angle_alpha 90.00
_cell_angle_beta 90.00
_cell_angle_gamma 90.00
_symmetry_space_group_name_H-M 'P 1'
_symmetry_Int_Tables_number 1
loop_
_symmetry_equiv_pos_as_xyz
'x,y,z'
loop_
_atom_site_label
_atom_site_type_symbol
_atom_site_fract_x
_atom_site_fract_y
_atom_site_fract_z
_atom_site_occupancy
Hg1 Hg 0.0000 0.0000 0.5000 1
Hg2 Hg 0.0000 0.5000 0.0000 1
Dy1 Dy 0.5000 0.5000 0.5000 1
Ag1 Ag 0.5000 0.0000 0.0000 1

---

# 20
# Dy4AgHg5, relaxed, DFT PBE
# Energy of formation from the pure elements (eV/atom): -0.39
data_Dy4AgHg5
_cell_length_a 3.6886
_cell_length_b 3.6886
_cell_length_c 18.0591
_cell_angle_alpha 90.00
_cell_angle_beta 90.00
_cell_angle_gamma 90.00
_symmetry_space_group_name_H-M 'P 1'
_symmetry_Int_Tables_number 1
loop_
_symmetry_equiv_pos_as_xyz
'x,y,z'
loop_
_atom_site_label
_atom_site_type_symbol
_atom_site_fract_x
_atom_site_fract_y
_atom_site_fract_z
_atom_site_occupancy
Hg1 Hg 0.5000 0.5000 0.9109 1
Hg2 Hg 0.5000 0.5000 0.0891 1
Hg3 Hg 0.5000 0.5000 0.2943 1
Dy1 Dy 0.0000 0.0000 0.6046 1
Dy2 Dy 0.0000 0.0000 0.3954 1
Ag1 Ag 0.0000 0.0000 0.0000 1
Dy3 Dy 0.0000 0.0000 0.1875 1
Dy4 Dy 0.0000 0.0000 0.8125 1
Hg4 Hg 0.5000 0.5000 0.7057 1
Hg5 Hg 0.5000 0.5000 0.5000 1

---

| no. | total energy (eV per atom) | total moment (μB per cell) |
| --- | --- | --- |
| 1 | -4.537 | 0.8 |
| 2 | -5.172 | 0.8 |
| 3 | -7.392 | 0.0 |
| 4 | -5.687 | 0.0 |
| 5 | -7.084 | 0.0 |
| 6 | -4.987 | 0.9 |
| 7 | -4.764 | 1.0 |
| 8 | -2.936 | 0.0 |
| 9 | -2.352 | 0.0 |
| 10 | -2.103 | 0.0 |
| 11 | -1.482 | 0.0 |
| 12 | -3.118 | 0.0 |
| 13 | -3.511 | 0.0 |
| 14 | -3.945 | 0.0 |
| 15 | -2.377 | 0.0 |
| 16 | -1.268 | 0.0 |
| 17 | -2.762 | 0.0 |
| 18 | -2.588 | 0.0 |
| 19 | -2.259 | 0.0 |
| 20 | -2.665 | 0.0 |